## Tb5Sm3Sc (PBE)

Data for a relaxed Tb5Sm3Sc crystal.

Structure (extended XYZ):
```
18
Lattice="6.099 -5.595 0.000 6.099 5.595 0.000 -5.708 0.000 10.001" Properties=species:S:1:pos:R:3 pbc="T T T"
Tb -2.035 0.000 3.719
Tb 2.867 2.845 1.949
Tb -3.265 0.000 9.575
Tb 6.099 3.168 0.000
Tb 3.623 2.845 8.052
Tb 2.867 -2.845 1.949
Tb 6.099 -3.168 0.000
Tb 9.755 0.000 0.426
Tb 3.623 -2.845 8.052
Tb 8.525 0.000 6.282
Sm 0.824 0.000 2.429
Sm -0.311 0.000 6.561
Sm 6.099 0.000 0.000
Sm 3.245 0.000 5.001
Sm 6.801 0.000 3.441
Sm 5.666 0.000 7.572
Sc 4.099 0.000 2.128
Sc 2.390 0.000 7.873
```

Values from the calculation:
Calculated formation energy = 0.569 eV/atom
SG = No. 12
DOS at the Fermi energy = 24.72 states/eV per cell



## NbBi2Au2 (PBE)

Data for a relaxed NbBi2Au2 crystal.

Structure (extended XYZ):
```
10
Lattice="7.739 0.000 0.000 0.000 7.739 0.000 0.000 0.000 3.935" Properties=species:S:1:pos:R:3 pbc="T T T"
Nb 0.000 0.000 0.000
Nb 3.870 3.870 0.000
Bi 1.268 2.601 0.000
Bi 2.601 6.471 0.000
Bi 5.138 1.268 0.000
Bi 6.471 5.138 0.000
Au 1.087 4.956 1.968
Au 2.783 1.087 1.968
Au 4.956 6.653 1.968
Au 6.653 2.783 1.968
```

Values from the calculation:
Calculated formation energy = 0.380 eV/atom
SG = No. 127
DOS at the Fermi energy = 6.06 states/eV per cell
ΔE to the lowest computed polymorph = 105 meV/atom



## LaHg3Te (PBE)

Data for a relaxed LaHg3Te crystal.

Structure (extended XYZ):
```
5
Lattice="5.528 0.000 0.000 0.000 5.528 0.000 0.000 0.000 5.528" Properties=species:S:1:pos:R:3 pbc="T T T"
La 0.000 0.000 0.000
Hg 0.000 2.764 2.764
Hg 2.764 0.000 2.764
Hg 2.764 2.764 0.000
Te 2.764 2.764 2.764
```

Values from the calculation:
SG = No. 221
Uncorrected formation energy = 0.28 eV per atom
DOS at the Fermi energy = 4.41 states/eV per cell
ΔE to the lowest computed polymorph = 0 meV/atom



## TcBr (PBE)

Data for a relaxed TcBr crystal.

Structure (extended XYZ):
```
12
Lattice="6.989 0.000 0.000 0.000 6.989 0.000 0.000 0.000 6.989" Properties=species:S:1:pos:R:3 pbc="T T T"
Tc 0.000 1.747 3.495
Tc 0.000 5.242 3.495
Tc 1.747 3.495 0.000
Tc 3.495 0.000 1.747
Tc 3.495 0.000 5.242
Tc 5.242 3.495 0.000
Br 0.000 3.495 1.747
Br 0.000 3.495 5.242
Br 1.747 0.000 3.495
Br 3.495 1.747 0.000
Br 3.495 5.242 0.000
Br 5.242 0.000 3.495
```

Values from the calculation:
SG = No. 223
Uncorrected formation energy = 1.45 eV per atom
DOS at the Fermi energy = 13.95 states/eV per cell
ΔE to the lowest computed polymorph = 1404 meV/atom



no.,DFT total energy (eV per atom)
1,-4.280
2,-4.497
3,-1.511
4,-4.572